Entry from the Alexandria database: a geometry-optimized Cd3Au13 structure (PBE).

```
Cd3Au13
1.0
8.096 0.000 0.000
0.000 4.264 4.290
0.000 -4.264 4.290
Cd Au
3 13
Direct
0.000 0.000 0.000
0.256 0.266 0.266
0.744 0.266 0.266
0.000 0.012 0.502
0.000 0.502 0.012
0.000 0.511 0.511
0.249 0.758 0.758
0.251 0.260 0.763
0.251 0.763 0.260
0.500 0.009 0.514
0.500 0.010 0.010
0.500 0.513 0.513
0.500 0.514 0.009
0.749 0.260 0.763
0.749 0.763 0.260
0.751 0.758 0.758
```

Computed properties:
- ΔE to the lowest computed polymorph (meV/atom) = 0.0
- formation energy from the elements (kJ/mol of formula units) = -123
- V (Å³ per cell) = 296.2

Entry from the Alexandria database: a geometry-optimized Cd3Au8 structure (PBE).

```
Cd3Au8
1.0
4.722 2.726 3.208
-4.722 2.726 3.208
0.000 -5.452 3.208
Cd Au
3 8
Direct
0.000 0.500 0.500
0.500 0.000 0.500
0.500 0.500 0.000
0.050 0.925 0.687
0.075 0.313 0.950
0.313 0.950 0.075
0.360 0.360 0.360
0.640 0.640 0.640
0.687 0.050 0.925
0.925 0.687 0.050
0.950 0.075 0.313
```

Computed properties:
- ΔE to the lowest computed polymorph (meV/atom) = 210.8
- formation energy from the elements (kJ/mol of formula units) = 88
- V (Å³ per cell) = 247.7

Entry from the Alexandria database: a geometry-optimized Cd6Au5 structure (PBE).

```
Cd6Au5
1.0
4.422 -6.557 0.000
4.422 6.557 0.000
-2.215 0.000 3.884
Cd Au
6 5
Direct
0.076 0.395 0.735
0.226 0.226 0.226
0.395 0.076 0.735
0.605 0.924 0.265
0.774 0.774 0.774
0.924 0.605 0.265
0.175 0.825 0.000
0.339 0.661 0.500
0.500 0.500 0.000
0.661 0.339 0.500
0.825 0.175 0.000
```

Computed properties:
- formation energy from the elements (kJ/mol of formula units) = -171
- V (Å³ per cell) = 225.2

Entry from the Alexandria database: a geometry-optimized Cd2Au structure (PBE).

```
Cd2Au
1.0
-3.419 3.419 2.782
3.419 -3.419 2.782
3.419 3.419 -2.782
Cd Au
4 2
Direct
0.155 0.655 0.810
0.345 0.155 0.500
0.655 0.845 0.500
0.845 0.345 0.190
0.250 0.250 0.000
0.750 0.750 0.000
```

Computed properties:
- formation energy from the elements (kJ/mol of formula units) = -38
- V (Å³ per cell) = 130.1

Entry from the Alexandria database: a geometry-optimized CdAu3 structure (PBE).

```
CdAu3
1.0
3.037 0.000 0.000
0.000 3.037 0.000
0.000 0.000 8.098
Cd Au
1 3
Direct
0.000 0.000 0.000
0.000 0.000 0.500
0.500 0.500 0.252
0.500 0.500 0.748
```

Computed properties:
- formation energy from the elements (kJ/mol of formula units) = -28
- V (Å³ per cell) = 74.7

Entry from the Alexandria database: a geometry-optimized Cd2Au structure (PBE).

```
Cd2Au
1.0
1.896 -7.047 0.000
1.896 7.047 0.000
0.000 0.000 4.566
Cd Au
4 2
Direct
0.068 0.932 0.750
0.257 0.743 0.250
0.743 0.257 0.750
0.932 0.068 0.250
0.400 0.600 0.750
0.600 0.400 0.250
```

Computed properties:
- formation energy from the elements (kJ/mol of formula units) = -34
- V (Å³ per cell) = 122.0

Entry from the Alexandria database: a geometry-optimized Cd3Au8 structure (PBE).

```
Cd3Au8
1.0
4.790 -2.056 0.000
4.790 2.056 0.000
-2.937 0.000 10.443
Cd Au
3 8
Direct
0.000 0.000 0.000
0.096 0.096 0.639
0.904 0.904 0.361
0.181 0.181 0.272
0.273 0.273 0.911
0.368 0.368 0.548
0.455 0.455 0.182
0.545 0.545 0.818
0.632 0.632 0.452
0.727 0.727 0.089
0.819 0.819 0.728
```

Computed properties:
- ΔE to the lowest computed polymorph (meV/atom) = 0.0
- formation energy from the elements (kJ/mol of formula units) = -135
- V (Å³ per cell) = 205.7

Entry from the Alexandria database: a geometry-optimized Cd2Au structure (PBE).

```
Cd2Au
1.0
5.537 -1.562 0.000
5.537 1.562 0.000
-1.737 0.000 6.989
Cd Au
4 2
Direct
0.000 0.000 0.000
0.057 0.057 0.598
0.374 0.374 0.283
0.723 0.723 0.932
0.339 0.339 0.669
0.655 0.655 0.320
```

Computed properties:
- formation energy from the elements (kJ/mol of formula units) = -32
- V (Å³ per cell) = 120.9